(1)
# KGaAgSn2

KGaAgSn2 after structural relaxation (PBE, the Alexandria database).

The structure in POSCAR format:
```
KGaAgSn2
1.0
4.798 0.000 0.000
0.000 4.798 0.000
-2.399 -2.399 5.978
K Ga Ag Sn
1 1 1 2
Direct
0.000 0.000 0.000 K
0.750 0.250 0.500 Ga
0.250 0.750 0.500 Ag
0.622 0.622 0.244 Sn
0.378 0.378 0.756 Sn
```

Calculated values
* energy relative to the lowest polymorph listed for this composition: 0 kJ/mol of formula units
* uncorrected energy: -3.125 eV/atom

---

(2)
# K2Ga4AgSn3

K2Ga4AgSn3 after structural relaxation (PBE, the Alexandria database).

The structure in POSCAR format:
```
K2Ga4AgSn3
1.0
-0.601 -3.682 2.981
4.737 -0.425 0.429
-0.159 7.328 9.019
K Ga Ag Sn
2 4 1 3
Direct
0.500 0.000 0.251 K
0.000 0.500 0.749 K
0.500 0.500 0.000 Ga
0.000 0.000 0.000 Ga
0.500 0.000 0.628 Ga
0.000 0.500 0.372 Ga
0.500 0.500 0.500 Ag
0.000 0.000 0.500 Sn
0.500 0.000 0.868 Sn
0.000 0.500 0.132 Sn
```

Calculated values
* uncorrected energy: -3.054 eV/atom

---

(3)
# KGaAgSn2

KGaAgSn2 after structural relaxation (PBE, the Alexandria database).

The structure in POSCAR format:
```
KGaAgSn2
1.0
5.335 0.000 0.000
0.000 6.092 0.000
0.000 0.000 5.335
K Ga Sn Ag
1 1 2 1
Direct
0.000 0.500 0.000 K
0.000 0.000 0.000 Ga
0.000 0.000 0.500 Sn
0.500 0.000 0.000 Sn
0.500 0.500 0.500 Ag
```

Calculated values
* energy relative to the lowest polymorph listed for this composition: 257 kJ/mol of formula units
* uncorrected energy: -2.592 eV/atom

---

(4)
# KGaAgTe3

KGaAgTe3 after structural relaxation (PBE, the Alexandria database).

The structure in POSCAR format:
```
KGaAgTe3
1.0
-2.225 -3.079 -1.665
7.993 -4.571 -2.231
-2.883 -3.420 10.182
K Ga Ag Te
2 2 2 6
Direct
0.250 0.204 0.207 K
0.750 0.796 0.793 K
0.250 0.092 0.625 Ga
0.750 0.908 0.375 Ga
0.250 0.642 0.091 Ag
0.750 0.358 0.909 Ag
0.750 0.873 0.136 Te
0.250 0.127 0.864 Te
0.250 0.802 0.480 Te
0.750 0.198 0.520 Te
0.750 0.491 0.182 Te
0.250 0.509 0.818 Te
```

Calculated values
* ΔE_f (raw): -0.34 eV/atom
* uncorrected energy: -3.078 eV/atom

---

(5)
# KGa2AgTe4

KGa2AgTe4 after structural relaxation (PBE, the Alexandria database).

The structure in POSCAR format:
```
KGa2AgTe4
1.0
-0.166 2.722 6.304
5.735 -1.146 4.388
3.009 6.591 0.975
K Ga Ag Te
1 2 1 4
Direct
0.000 0.000 0.000 K
0.164 0.336 0.336 Ga
0.836 0.664 0.664 Ga
0.500 0.500 0.500 Ag
0.460 0.130 0.497 Te
0.087 0.870 0.503 Te
0.913 0.497 0.130 Te
0.540 0.503 0.870 Te
```

Calculated values
* ΔE_f (raw): -0.24 eV/atom
* uncorrected energy: -3.057 eV/atom

---

(6)
# KTl2GaAg

KTl2GaAg after structural relaxation (PBE, the Alexandria database).

The structure in POSCAR format:
```
KTl2GaAg
1.0
-0.615 -3.267 4.621
-3.314 -3.560 -2.958
4.104 -2.692 -1.357
K Tl Ga Ag
1 2 1 1
Direct
0.500 0.500 0.500 K
0.000 0.500 0.000 Tl
0.500 0.000 0.000 Tl
0.000 0.000 0.000 Ga
0.000 0.000 0.500 Ag
```

Calculated values
* uncorrected energy: -2.247 eV/atom

---

(7)
# K2TlGaAg

K2TlGaAg after structural relaxation (PBE, the Alexandria database).

The structure in POSCAR format:
```
K2TlGaAg
1.0
6.294 0.000 0.000
0.000 5.363 0.000
0.000 0.000 6.294
K Tl Ga Ag
2 1 1 1
Direct
0.000 0.000 0.500 K
0.500 0.000 0.000 K
0.000 0.500 0.000 Tl
0.500 0.500 0.500 Ga
0.000 0.000 0.000 Ag
```

Calculated values
* uncorrected energy: -1.812 eV/atom

---

(8)
# KTlGaAg2

KTlGaAg2 after structural relaxation (PBE, the Alexandria database).

The structure in POSCAR format:
```
KTlGaAg2
1.0
-0.384 2.511 4.473
-4.911 1.114 -1.047
-1.568 -4.607 2.452
K Tl Ga Ag
1 1 1 2
Direct
0.500 0.500 0.500 K
0.000 0.000 0.500 Tl
0.000 0.000 0.000 Ga
0.000 0.500 0.000 Ag
0.500 0.000 0.000 Ag
```

Calculated values
* uncorrected energy: -2.348 eV/atom